VASP calculation (PBE) on a relaxed SrCaAg2P2 crystal.

Geometry as POSCAR:
```
SrCaAg2P2
1.0
-2.102 -3.858 0.054
2.185 1.261 -3.597
6.648 -3.583 2.782
Sr Ca Ag P
1 1 2 2
direct
0.000 0.000 0.000
0.000 0.000 0.500
0.333 0.667 0.732
0.667 0.333 0.268
0.333 0.667 0.260
0.667 0.333 0.740
```

density of states at the Fermi level = 0.015 states/eV/atom
energy of formation from the pure elements = -0.74 eV/atom
symmetry = No. 164